No. 1
## LaBCl3 (PBE)

Data for a relaxed structure of LaBCl3.

Lattice parameters (Å, degrees): 4.680 4.680 4.680 90.00 90.00 90.00
Fractional coordinates of all 5 atoms:
Cl  0.000  0.500  0.000
Cl  0.000  0.000  0.500
Cl  0.500  0.000  0.000
B  0.000  0.000  0.000
La  0.500  0.500  0.500

## Properties
Its uncorrected formation energy is -0.42 eV/atom. As for the energy relative to the lowest polymorph listed for this composition: 203.8 meV per atom. As for the symmetry: Pm-3m.

***

No. 2
## Re3PRu (PBE)

Data for a relaxed structure of Re3PRu.

Lattice parameters (Å, degrees): 4.654 4.654 4.654 90.00 90.00 90.00
Fractional coordinates of all 5 atoms:
Re  0.000  0.500  0.000
Re  0.000  0.000  0.500
Re  0.500  0.000  0.000
P  0.500  0.500  0.500
Ru  0.000  0.000  0.000

## Properties
The calculation puts the formation energy at 2.43 eV/atom. As for the energy relative to the lowest polymorph listed for this composition: 1387.2 meV per atom. As for the symmetry: Pm-3m.

***

No. 3
## HgTeS2O8 (PBE)

Data for a relaxed structure of HgTeS2O8.

Lattice parameters (Å, degrees): 5.061 5.061 10.513 80.59 80.59 65.51
Fractional coordinates of all 12 atoms:
Hg  0.000  0.000  0.500
Te  0.000  0.000  0.000
S  0.607  0.607  0.164
S  0.393  0.393  0.836
O  0.719  0.275  0.850
O  0.740  0.740  0.042
O  0.663  0.663  0.282
O  0.337  0.337  0.718
O  0.260  0.260  0.958
O  0.275  0.719  0.850
O  0.725  0.281  0.150
O  0.281  0.725  0.150

## Properties
Its uncorrected formation energy is -0.98 eV/atom. As for the symmetry: C2/m.

***

No. 4
## NbTeH2PdI (PBE)

Data for a relaxed structure of NbTeH2PdI.

Lattice parameters (Å, degrees): 3.629 4.725 7.485 90.37 92.25 96.48
Fractional coordinates of all 6 atoms:
Nb  0.588  0.648  0.232
Te  0.102  0.865  0.978
H  0.852  0.892  0.394
H  0.063  0.491  0.265
Pd  0.217  0.119  0.296
I  0.541  0.416  0.581

## Properties
As for the energy relative to the lowest polymorph listed for this composition: 106.7 meV per atom. As for the symmetry: P1.

***

No. 5
## Li3Cd4Bi (PBE)

Data for a relaxed structure of Li3Cd4Bi.

Lattice parameters (Å, degrees): 3.320 4.478 12.296 77.74 81.94 90.07
Fractional coordinates of all 8 atoms:
Cd  0.898  0.389  0.202
Cd  0.102  0.611  0.798
Cd  0.778  0.281  0.444
Cd  0.222  0.719  0.556
Bi  0.000  0.000  0.000
Li  0.346  0.842  0.304
Li  0.654  0.158  0.696
Li  0.500  0.500  0.000

## Properties
The calculation puts the formation energy at -0.16 eV/atom. As for the energy relative to the lowest polymorph listed for this composition: 59.8 meV per atom. As for the symmetry: P-1.

***

No. 6
## La6Ni2RhI3 (PBE)

Data for a relaxed structure of La6Ni2RhI3.

Lattice parameters (Å, degrees): 7.318 7.318 8.599 98.13 98.13 120.09
Fractional coordinates of all 12 atoms:
La  0.938  0.603  0.816
La  0.727  0.727  0.184
La  0.062  0.397  0.184
La  0.603  0.938  0.816
La  0.273  0.273  0.816
La  0.397  0.062  0.184
Ni  0.333  0.667  0.000
Ni  0.667  0.333  0.000
Rh  0.000  0.000  0.000
I  0.167  0.833  0.500
I  0.833  0.167  0.500
I  0.500  0.500  0.500

## Properties
Its uncorrected formation energy is -0.84 eV/atom. As for the symmetry: C2/m.

***

No. 7
## IrAu (PBE)

Data for a relaxed structure of IrAu.

Lattice parameters (Å, degrees): 2.805 2.805 4.777 90.00 90.00 120.00
Fractional coordinates of all 2 atoms:
Ir  0.333  0.667  0.500
Au  0.000  0.000  0.000

## Properties
The calculation puts the formation energy at 0.45 eV/atom. As for the energy relative to the lowest polymorph listed for this composition: 258.7 meV per atom. As for the symmetry: P-6m2.

***

No. 8
## Tb2PuSbN5 (PBE)

Data for a relaxed structure of Tb2PuSbN5.

Lattice parameters (Å, degrees): 3.437 7.238 10.475 90.00 90.00 103.73
Fractional coordinates of all 18 atoms:
Tb  0.864  0.728  0.784
Tb  0.112  0.224  0.695
Tb  0.136  0.272  0.284
Tb  0.888  0.776  0.195
Pu  0.782  0.563  0.505
Pu  0.218  0.437  0.005
Sb  0.521  0.041  0.966
Sb  0.479  0.959  0.466
N  0.377  0.753  0.011
N  0.683  0.366  0.868
N  0.492  0.984  0.776
N  0.282  0.565  0.651
N  0.948  0.896  0.568
N  0.623  0.247  0.511
N  0.317  0.634  0.368
N  0.508  0.016  0.276
N  0.718  0.435  0.151
N  0.052  0.104  0.068

## Properties
Its uncorrected formation energy is -0.77 eV/atom. As for the symmetry: Cmc2_1.

***

Asked for total DFT energy (no corrections) across the records above, the calculation gives -3.8480; -7.9800; -5.2612; -4.5637; -1.8207; -5.2715; -5.6240; -8.4795 eV/atom in order.